(one)
Compound: VIrOF2
Source: Alexandria via LeMat-Bulk
Functional: PBE with a Hubbard U
Structure: relaxed

Lattice parameters (Å, degrees): 4.507 4.507 3.725 90.00 90.00 90.00
Atoms (fractional coordinates):
V 0.000 0.000 0.000
Ir 0.500 0.500 0.500
O 0.500 0.500 0.000
F 0.000 0.500 0.500
F 0.500 0.000 0.500

Properties
The space group is P4/mmm.

(two)
Compound: VIrOF2
Source: Alexandria via LeMat-Bulk
Functional: PBE with a Hubbard U
Structure: relaxed

Lattice parameters (Å, degrees): 4.083 4.083 3.748 90.00 90.00 90.00
Atoms (fractional coordinates):
V 0.000 0.000 0.000
Ir 0.500 0.500 0.500
O 0.000 0.000 0.500
F 0.000 0.500 0.000
F 0.500 0.000 0.000

Properties
The space group is P4/mmm.

Most stable one: (two), least stable one: (one).